DFT (PBE) results for crystalline LaPrHo2 at its relaxed geometry.

a = 5.777 Å, b = 5.777 Å, c = 5.777 Å
α = 60.00°, β = 60.00°, γ = 60.00°
Fractional positions:
Pr: 0.000 0.000 0.000
Ho: 0.750 0.750 0.750
Ho: 0.250 0.250 0.250
La: 0.500 0.500 0.500

Size of the total moment: 0.00 μB/cell
ΔE_f: 0.094 eV per atom
Electronic total energy: -4.622 eV per atom
Calculated density: 7.4 g/cm3